Material: CaMn2Br
Method: DFT, PBE-GGA
State: relaxed Values from VASP.

Cell and atoms, written as Quantum ESPRESSO input:
```
&SYSTEM
  ibrav = 0, nat = 8, ntyp = 3
/
ATOMIC_SPECIES
Br 79.90 Br.upf
Mn 54.94 Mn.upf
Ca 40.08 Ca.upf
ATOMIC_POSITIONS crystal
Br 0.750 0.250 0.500
Br 0.000 0.000 0.000
Mn 0.085 0.625 0.250
Mn 0.665 0.125 0.250
Mn 0.375 0.335 0.750
Mn 0.875 0.915 0.750
Ca 0.250 0.750 0.500
Ca 0.500 0.500 0.000
CELL_PARAMETERS angstrom
8.376 0.000 0.000
0.000 8.376 0.000
4.188 4.188 2.814
```

Results
The spin magnetization is 17.459 μB per cell. The total energy comes out at -5.16 eV/atom. As for the space group: I-42d (122). The calculation puts the calculated volume at 197.4 Å³ per cell.

=====

Material: CaMnBr4
Method: DFT, PBE-GGA
State: relaxed Values from VASP.

Cell and atoms, written as Quantum ESPRESSO input:
```
&SYSTEM
  ibrav = 0, nat = 12, ntyp = 3
/
ATOMIC_SPECIES
Br 79.90 Br.upf
Ca 40.08 Ca.upf
Mn 54.94 Mn.upf
ATOMIC_POSITIONS crystal
Br 0.000 0.304 0.112
Br 0.000 0.696 0.888
Br 0.500 0.844 0.109
Br 0.500 0.804 0.612
Br 0.500 0.196 0.388
Br 0.500 0.156 0.891
Br 0.000 0.656 0.391
Br 0.000 0.344 0.609
Ca 0.500 0.500 0.000
Ca 0.000 0.000 0.500
Mn 0.500 0.500 0.500
Mn 0.000 0.000 0.000
CELL_PARAMETERS angstrom
-0.071 -1.585 3.752
-4.183 -5.238 -2.292
10.951 -8.026 -3.182
```

Results
The spin magnetization is 10.000 μB per cell. The total energy comes out at -4.38 eV/atom. As for the space group: C2/m (12). The calculation puts the calculated volume at 402.2 Å³ per cell.

=====

Material: Ca2MnBr
Method: DFT, PBE-GGA
State: relaxed Values from VASP.

Cell and atoms, written as Quantum ESPRESSO input:
```
&SYSTEM
  ibrav = 0, nat = 4, ntyp = 3
/
ATOMIC_SPECIES
Ca 40.08 Ca.upf
Br 79.90 Br.upf
Mn 54.94 Mn.upf
ATOMIC_POSITIONS crystal
Ca 0.500 0.500 0.000
Ca 0.000 0.000 0.000
Br 0.000 0.500 0.500
Mn 0.500 0.000 0.500
CELL_PARAMETERS angstrom
-4.137 1.406 -3.471
-3.321 -3.747 2.464
-1.084 2.467 2.291
```

Results
The spin magnetization is 3.605 μB per cell. The total energy comes out at -3.93 eV/atom. As for the space group: Cmmm (65). The calculation puts the calculated volume at 110.1 Å³ per cell.

=====

Material: CaMnBr2
Method: DFT, PBE-GGA
State: relaxed Values from VASP.

Cell and atoms, written as Quantum ESPRESSO input:
```
&SYSTEM
  ibrav = 0, nat = 4, ntyp = 3
/
ATOMIC_SPECIES
Br 79.90 Br.upf
Mn 54.94 Mn.upf
Ca 40.08 Ca.upf
ATOMIC_POSITIONS crystal
Br 0.031 0.031 0.031
Br 0.469 0.469 0.469
Mn 0.250 0.250 0.250
Ca 0.750 0.750 0.750
CELL_PARAMETERS angstrom
-4.173 10.075 -0.607
-7.312 7.883 -1.918
-6.704 8.374 2.052
```

Results
The spin magnetization is 4.998 μB per cell. The total energy comes out at -4.34 eV/atom. As for the space group: R-3m (166). The calculation puts the calculated volume at 151.3 Å³ per cell.

=====

Material: CaMnBr2
Method: DFT, PBE-GGA
State: relaxed Values from VASP.

Cell and atoms, written as Quantum ESPRESSO input:
```
&SYSTEM
  ibrav = 0, nat = 4, ntyp = 3
/
ATOMIC_SPECIES
Br 79.90 Br.upf
Ca 40.08 Ca.upf
Mn 54.94 Mn.upf
ATOMIC_POSITIONS crystal
Br 0.000 0.000 0.913
Br 0.500 0.500 0.323
Ca 0.000 0.000 0.496
Mn 0.500 0.500 0.768
CELL_PARAMETERS angstrom
3.579 0.094 0.000
-0.029 3.581 0.000
0.000 0.000 9.218
```

Results
The spin magnetization is 4.595 μB per cell. The total energy comes out at -4.33 eV/atom. As for the space group: Cmm2 (35). The calculation puts the calculated volume at 118.2 Å³ per cell.

=====

Material: CaMnBr
Method: DFT, PBE-GGA
State: relaxed Values from VASP.

Cell and atoms, written as Quantum ESPRESSO input:
```
&SYSTEM
  ibrav = 0, nat = 3, ntyp = 3
/
ATOMIC_SPECIES
Mn 54.94 Mn.upf
Br 79.90 Br.upf
Ca 40.08 Ca.upf
ATOMIC_POSITIONS crystal
Mn 0.667 0.333 0.674
Br 0.000 0.000 0.006
Ca 0.333 0.667 0.320
CELL_PARAMETERS angstrom
-0.454 1.302 -3.526
3.214 -1.749 0.973
-2.589 -5.756 -1.792
```

Results
The spin magnetization is 4.006 μB per cell. The total energy comes out at -4.50 eV/atom. As for the space group: P3m1 (156). The calculation puts the calculated volume at 81.5 Å³ per cell.

=====

Material: CaMnBr
Method: DFT, PBE-GGA
State: relaxed Values from VASP.

Cell and atoms, written as Quantum ESPRESSO input:
```
&SYSTEM
  ibrav = 0, nat = 3, ntyp = 3
/
ATOMIC_SPECIES
Ca 40.08 Ca.upf
Mn 54.94 Mn.upf
Br 79.90 Br.upf
ATOMIC_POSITIONS crystal
Ca 0.342 0.342 0.658
Mn 0.684 0.684 0.316
Br 0.974 0.974 0.026
CELL_PARAMETERS angstrom
-2.638 5.622 2.856
-4.807 2.923 3.882
1.407 0.131 3.323
```

Results
The spin magnetization is 3.991 μB per cell. The total energy comes out at -4.51 eV/atom. As for the space group: I4mm (107). The calculation puts the calculated volume at 82.7 Å³ per cell.

=====

Material: CaMn2Br
Method: DFT, PBE-GGA
State: relaxed Values from VASP.

Cell and atoms, written as Quantum ESPRESSO input:
```
&SYSTEM
  ibrav = 0, nat = 4, ntyp = 3
/
ATOMIC_SPECIES
Br 79.90 Br.upf
Mn 54.94 Mn.upf
Ca 40.08 Ca.upf
ATOMIC_POSITIONS crystal
Br 0.500 0.500 0.250
Mn 0.000 0.000 0.022
Mn 0.000 0.000 0.478
Ca 0.500 0.500 0.750
CELL_PARAMETERS angstrom
3.411 0.003 0.000
-1.132 3.218 0.000
0.000 0.000 8.933
```

Results
The spin magnetization is 8.822 μB per cell. The total energy comes out at -5.10 eV/atom. As for the space group: Cmmm (65). The calculation puts the calculated volume at 98.1 Å³ per cell.